Density functional theory data (PBE with a Hubbard U) for BeCoF2 after structural relaxation.

Spin magnetization   2.1 μB/f.u.
DOS(E_F)   4.0 states/eV/cell
Energy above the most stable polymorph in this dataset   0.000 eV per atom
Total energy   -58.7 eV for the cell shown

abc: 2.5714 2.5714 27.4154
angles: 90.00 90.00 120.00
Space group R-3m (No. 166, hexagonal axes)
One atom of each set of equivalent atoms:
Be 0.0000 0.0000 0.0000 [3 per cell]
Co 0.0000 0.0000 0.5000 [3 per cell]
F 0.0000 0.0000 0.3667 [6 per cell]